Computed, not measured: ScV3Fe after structural relaxation at the PBE-GGA level of DFT.

* energy relative to the elements: 1.8099 eV/atom
* Fermi-level density of states: 8.79 states/eV/f.u.
* E above lowest polymorph: 1312 meV per atom

Cell and atoms, written as CIF:
```
data_ScV3Fe
_cell_length_a 4.356
_cell_length_b 4.356
_cell_length_c 4.356
_cell_angle_alpha 90.00
_cell_angle_beta 90.00
_cell_angle_gamma 90.00
_space_group_name_H-M_alt 'P 1'
_space_group_IT_number 1
loop_
_space_group_symop_operation_xyz
'x,y,z'
loop_
_atom_site_label
_atom_site_type_symbol
_atom_site_fract_x
_atom_site_fract_y
_atom_site_fract_z
Sc1 Sc 0.000 0.000 0.000
V1 V 0.000 0.000 0.500
V2 V 0.000 0.500 0.000
V3 V 0.500 0.000 0.000
Fe1 Fe 0.500 0.500 0.500
```


Computed, not measured: Ce2InPd9 after structural relaxation at the PBE-GGA level of DFT.

* energy relative to the elements: -0.7149 eV/atom
* Fermi-level density of states: 4.68 states/eV/f.u.
* E above lowest polymorph: 0 meV per atom

Cell and atoms, written as CIF:
```
data_Ce2InPd9
_cell_length_a 4.127
_cell_length_b 4.127
_cell_length_c 12.277
_cell_angle_alpha 90.00
_cell_angle_beta 90.00
_cell_angle_gamma 90.00
_space_group_name_H-M_alt 'P 1'
_space_group_IT_number 1
loop_
_space_group_symop_operation_xyz
'x,y,z'
loop_
_atom_site_label
_atom_site_type_symbol
_atom_site_fract_x
_atom_site_fract_y
_atom_site_fract_z
Ce1 Ce 0.000 0.000 0.172
Ce2 Ce 0.000 0.000 0.828
In1 In 0.000 0.000 0.500
Pd1 Pd 0.000 0.500 0.000
Pd2 Pd 0.000 0.500 0.336
Pd3 Pd 0.000 0.500 0.664
Pd4 Pd 0.500 0.000 0.000
Pd5 Pd 0.500 0.000 0.336
Pd6 Pd 0.500 0.000 0.664
Pd7 Pd 0.500 0.500 0.169
Pd8 Pd 0.500 0.500 0.500
Pd9 Pd 0.500 0.500 0.831
```


Computed, not measured: Mn2TlInCl6 after structural relaxation at the PBE-GGA level of DFT.

* ΔE_f (raw): -1.0166 eV per atom
* Fermi-level density of states: 0.00 states/eV/f.u.

Cell and atoms, written as CIF:
```
data_Mn2TlInCl6
_cell_length_a 9.639
_cell_length_b 9.639
_cell_length_c 7.336
_cell_angle_alpha 98.84
_cell_angle_beta 98.84
_cell_angle_gamma 85.44
_space_group_name_H-M_alt 'P 1'
_space_group_IT_number 1
loop_
_space_group_symop_operation_xyz
'x,y,z'
loop_
_atom_site_label
_atom_site_type_symbol
_atom_site_fract_x
_atom_site_fract_y
_atom_site_fract_z
Mn1 Mn 0.121 0.301 0.267
Mn2 Mn 0.301 0.121 0.767
Mn3 Mn 0.699 0.879 0.233
Mn4 Mn 0.879 0.699 0.733
Tl1 Tl 0.192 0.808 0.250
Tl2 Tl 0.808 0.192 0.750
In1 In 0.403 0.597 0.750
In2 In 0.597 0.403 0.250
Cl1 Cl 0.104 0.625 0.854
Cl2 Cl 0.107 0.192 0.540
Cl3 Cl 0.192 0.107 0.040
Cl4 Cl 0.273 0.483 0.333
Cl5 Cl 0.375 0.896 0.646
Cl6 Cl 0.483 0.273 0.833
Cl7 Cl 0.517 0.727 0.167
Cl8 Cl 0.625 0.104 0.354
Cl9 Cl 0.727 0.517 0.667
Cl10 Cl 0.808 0.893 0.960
Cl11 Cl 0.893 0.808 0.460
Cl12 Cl 0.896 0.375 0.146
```


Computed, not measured: Tm2PuInO8 after structural relaxation at the PBE-GGA level of DFT.

* ΔE_f (raw): -2.6788 eV per atom

Cell and atoms, written as CIF:
```
data_Tm2PuInO8
_cell_length_a 4.982
_cell_length_b 4.982
_cell_length_c 6.881
_cell_angle_alpha 90.00
_cell_angle_beta 90.00
_cell_angle_gamma 92.65
_space_group_name_H-M_alt 'P 1'
_space_group_IT_number 1
loop_
_space_group_symop_operation_xyz
'x,y,z'
loop_
_atom_site_label
_atom_site_type_symbol
_atom_site_fract_x
_atom_site_fract_y
_atom_site_fract_z
Tm1 Tm 0.000 0.000 0.242
Tm2 Tm 0.000 0.000 0.758
Pu1 Pu 0.500 0.500 0.500
In1 In 0.500 0.500 0.000
O1 O 0.201 0.201 0.000
O2 O 0.209 0.209 0.500
O3 O 0.312 0.688 0.279
O4 O 0.312 0.688 0.721
O5 O 0.688 0.312 0.279
O6 O 0.688 0.312 0.721
O7 O 0.791 0.791 0.500
O8 O 0.799 0.799 0.000
```


Computed, not measured: NaLaY after structural relaxation at the PBE-GGA level of DFT.

* energy relative to the elements: 0.0624 eV/atom
* Fermi-level density of states: 3.37 states/eV/f.u.
* E above lowest polymorph: 0 meV per atom

Cell and atoms, written as CIF:
```
data_NaLaY
_cell_length_a 5.080
_cell_length_b 5.082
_cell_length_c 16.726
_cell_angle_alpha 90.00
_cell_angle_beta 90.05
_cell_angle_gamma 90.00
_space_group_name_H-M_alt 'P 1'
_space_group_IT_number 1
loop_
_space_group_symop_operation_xyz
'x,y,z'
loop_
_atom_site_label
_atom_site_type_symbol
_atom_site_fract_x
_atom_site_fract_y
_atom_site_fract_z
Na1 Na 0.249 0.000 0.089
Na2 Na 0.251 0.500 0.911
Na3 Na 0.749 0.500 0.089
Na4 Na 0.751 0.000 0.911
La1 La 0.249 0.500 0.266
La2 La 0.251 0.000 0.734
La3 La 0.749 0.000 0.266
La4 La 0.751 0.500 0.734
Y1 Y 0.250 0.000 0.423
Y2 Y 0.250 0.500 0.577
Y3 Y 0.750 0.000 0.577
Y4 Y 0.750 0.500 0.423
```


Computed, not measured: PmY2Lu after structural relaxation at the PBE-GGA level of DFT.

* energy relative to the elements: 0.1361 eV/atom
* Fermi-level density of states: 9.42 states/eV/f.u.
* E above lowest polymorph: 109 meV per atom

Cell and atoms, written as CIF:
```
data_PmY2Lu
_cell_length_a 8.040
_cell_length_b 8.040
_cell_length_c 8.040
_cell_angle_alpha 90.00
_cell_angle_beta 90.00
_cell_angle_gamma 90.00
_space_group_name_H-M_alt 'P 1'
_space_group_IT_number 1
loop_
_space_group_symop_operation_xyz
'x,y,z'
loop_
_atom_site_label
_atom_site_type_symbol
_atom_site_fract_x
_atom_site_fract_y
_atom_site_fract_z
Pm1 Pm 0.000 0.000 0.000
Pm2 Pm 0.000 0.500 0.500
Pm3 Pm 0.500 0.000 0.500
Pm4 Pm 0.500 0.500 0.000
Y1 Y 0.250 0.250 0.250
Y2 Y 0.250 0.250 0.750
Y3 Y 0.250 0.750 0.250
Y4 Y 0.250 0.750 0.750
Y5 Y 0.750 0.250 0.250
Y6 Y 0.750 0.250 0.750
Y7 Y 0.750 0.750 0.250
Y8 Y 0.750 0.750 0.750
Lu1 Lu 0.000 0.000 0.500
Lu2 Lu 0.000 0.500 0.000
Lu3 Lu 0.500 0.000 0.000
Lu4 Lu 0.500 0.500 0.500
```


Number 1: energy -6.620 eV per atom. Number 2: energy -5.827 eV per atom. Number 3: energy -4.469 eV per atom. Number 4: energy -8.152 eV per atom. Number 5: energy -4.174 eV per atom. Number 6: energy -5.414 eV per atom.